1.
VASP calculation (GGA-PBE) on a relaxed structure of DyH3Pd3.

Output
Theoretical density in Mg/m³: 9.895
SG: Pm-3n
Volume in A^3/atom: 11.6
Final energy in eV per atom: -4.84
DOS at the Fermi energy in states/eV/atom: 0.0435

abc: 5.459 5.459 5.459
angles: 90.00 90.00 90.00
Sites, in units of the cell vectors:
H1 0.000 0.500 0.250
H2 0.750 0.000 0.500
H3 0.500 0.750 0.000
H4 0.250 0.000 0.500
H5 0.500 0.250 0.000
H6 0.000 0.500 0.750
Dy1 0.500 0.500 0.500
Dy2 0.000 0.000 0.000
Pd1 0.500 0.000 0.750
Pd2 0.000 0.750 0.500
Pd3 0.250 0.500 0.000
Pd4 0.500 0.000 0.250
Pd5 0.000 0.250 0.500
Pd6 0.750 0.500 0.000

---

2.
VASP calculation (GGA-PBE) on a relaxed structure of Dy2HPd.

Output
Theoretical density in Mg/m³: 9.031
SG: R-3m
Volume in A^3/atom: 19.9
Final energy in eV per atom: -4.54
DOS at the Fermi energy in states/eV/atom: 0.7512

abc: 3.365 3.365 8.339
angles: 78.36 78.36 60.00
Sites, in units of the cell vectors:
Pd1 0.000 0.000 0.000
H1 0.500 0.500 0.500
Dy1 0.892 0.892 0.325
Dy2 0.108 0.108 0.675

---

3.
VASP calculation (GGA-PBE) on a relaxed structure of DyH6Pd5.

Output
Theoretical density in Mg/m³: 9.907
SG: C2/m
Volume in A^3/atom: 9.8
Final energy in eV per atom: -4.53
DOS at the Fermi energy in states/eV/atom: 0.1728

abc: 5.329 5.294 5.235
angles: 78.77 59.40 67.51
Sites, in units of the cell vectors:
H1 0.757 0.671 0.000
H2 0.243 0.329 0.000
H3 0.881 0.232 0.605
H4 0.513 0.768 0.605
H5 0.119 0.768 0.395
H6 0.487 0.232 0.395
Pd1 0.841 0.500 0.318
Pd2 0.500 0.500 0.000
Pd3 0.159 0.500 0.682
Pd4 0.671 0.000 0.659
Pd5 0.329 0.000 0.341
Dy1 0.000 0.000 0.000

---

4.
VASP calculation (GGA-PBE) on a relaxed structure of DyH8Pd6.

Output
Theoretical density in Mg/m³: 9.405
SG: R-3
Volume in A^3/atom: 9.5
Final energy in eV per atom: -4.43
DOS at the Fermi energy in states/eV/atom: 0.3099

abc: 5.303 5.303 5.303
angles: 99.08 99.08 99.08
Sites, in units of the cell vectors:
Pd1 0.873 0.708 0.421
Pd2 0.127 0.292 0.579
Pd3 0.708 0.421 0.873
Pd4 0.421 0.873 0.708
Pd5 0.292 0.579 0.127
Pd6 0.579 0.127 0.292
H1 0.204 0.812 0.375
H2 0.311 0.311 0.311
H3 0.625 0.796 0.188
H4 0.188 0.625 0.796
H5 0.375 0.204 0.812
H6 0.812 0.375 0.204
H7 0.689 0.689 0.689
H8 0.796 0.188 0.625
Dy1 0.000 0.000 0.000

---

5.
VASP calculation (GGA-PBE) on a relaxed structure of Dy6HPd2.

Output
Theoretical density in Mg/m³: 9.008
SG: P2_1/c
Volume in A^3/atom: 24.4
Final energy in eV per atom: -5.10
DOS at the Fermi energy in states/eV/atom: 0.9296

abc: 6.419 6.989 9.770
angles: 90.00 89.83 90.00
Sites, in units of the cell vectors:
Pd1 0.067 0.614 0.749
Pd2 0.933 0.386 0.251
Pd3 0.433 0.114 0.751
Pd4 0.567 0.886 0.249
Dy1 0.860 0.976 0.750
Dy2 0.140 0.024 0.250
Dy3 0.829 0.679 0.059
Dy4 0.672 0.178 0.061
Dy5 0.828 0.678 0.439
Dy6 0.671 0.179 0.441
Dy7 0.329 0.821 0.559
Dy8 0.360 0.524 0.250
Dy9 0.171 0.321 0.941
Dy10 0.328 0.822 0.939
Dy11 0.640 0.476 0.750
Dy12 0.172 0.322 0.561
H1 0.000 0.000 0.500
H2 0.500 0.500 0.000

---

6.
VASP calculation (GGA-PBE) on a relaxed structure of DyH3Pd.

Output
Theoretical density in Mg/m³: 8.923
SG: Pm-3m
Volume in A^3/atom: 10.1
Final energy in eV per atom: -4.43
DOS at the Fermi energy in states/eV/atom: 0.2562

abc: 3.699 3.699 3.699
angles: 90.00 90.00 90.00
Sites, in units of the cell vectors:
H1 0.000 0.000 0.500
H2 0.500 0.000 0.000
H3 0.000 0.500 0.000
Dy1 0.500 0.500 0.500
Pd1 0.000 0.000 0.000

---

7.
VASP calculation (GGA-PBE) on a relaxed structure of DyH3Pd.

Output
Theoretical density in Mg/m³: 8.369
SG: P1
Volume in A^3/atom: 10.8
Final energy in eV per atom: -4.47

abc: 3.762 5.215 5.733
angles: 73.75 91.61 91.17
Sites, in units of the cell vectors:
H1 0.318 0.272 0.525
H2 0.266 0.533 0.097
H3 0.786 0.447 0.846
H4 0.796 0.927 0.646
H5 0.840 0.686 0.387
H6 0.318 0.158 0.051
Dy1 0.283 0.663 0.682
Dy2 0.783 0.286 0.271
Pd1 0.142 0.833 0.164
Pd2 0.599 0.137 0.796

---

8.
VASP calculation (GGA-PBE) on a relaxed structure of Dy2HPd.

Output
Theoretical density in Mg/m³: 9.374
SG: P4/mmm
Volume in A^3/atom: 19.2
Final energy in eV per atom: -4.72
DOS at the Fermi energy in states/eV/atom: 0.8308

abc: 3.305 3.305 7.012
angles: 90.00 90.00 90.00
Sites, in units of the cell vectors:
Pd1 0.500 0.500 0.000
Dy1 0.000 0.000 0.261
Dy2 0.000 0.000 0.739
H1 0.500 0.500 0.500

---

9.
VASP calculation (GGA-PBE) on a relaxed structure of DyH2Pd.

Output
Theoretical density in Mg/m³: 8.325
SG: R-3m
Volume in A^3/atom: 13.5
Final energy in eV per atom: -4.67
DOS at the Fermi energy in states/eV/atom: 0.2956

abc: 3.946 3.946 4.609
angles: 64.65 64.65 60.00
Sites, in units of the cell vectors:
Pd1 0.000 0.000 0.000
Dy1 0.500 0.500 0.500
H1 0.141 0.141 0.577
H2 0.859 0.859 0.423

---

10.
VASP calculation (GGA-PBE) on a relaxed structure of DyH7Pd12.

Output
Theoretical density in Mg/m³: 10.490
SG: R-3
Volume in A^3/atom: 11.4
Final energy in eV per atom: -4.75
DOS at the Fermi energy in states/eV/atom: 0.4385

abc: 7.145 6.533 6.533
angles: 72.51 68.62 111.38
Sites, in units of the cell vectors:
Pd1 0.532 0.917 0.310
Pd2 0.078 0.842 0.618
Pd3 0.764 0.460 0.158
Pd4 0.385 0.227 0.083
Pd5 0.158 0.690 0.227
Pd6 0.468 0.083 0.690
Pd7 0.236 0.540 0.842
Pd8 0.922 0.158 0.382
Pd9 0.696 0.618 0.540
Pd10 0.304 0.382 0.460
Pd11 0.615 0.773 0.917
Pd12 0.842 0.310 0.773
H1 0.016 0.833 0.371
H2 0.984 0.167 0.629
H3 0.183 0.796 0.833
H4 0.612 0.629 0.204
H5 0.388 0.371 0.796
H6 0.817 0.204 0.167
H7 0.500 0.000 0.000
Dy1 0.000 0.000 0.000

---

11.
VASP calculation (GGA-PBE) on a relaxed structure of DyH6Pd7.

Output
Theoretical density in Mg/m³: 9.422
SG: R3
Volume in A^3/atom: 11.5
Final energy in eV per atom: -4.63
DOS at the Fermi energy in states/eV/atom: 0.2133

abc: 5.078 5.078 7.782
angles: 70.95 70.95 60.00
Sites, in units of the cell vectors:
Dy1 0.998 0.998 0.006
H1 0.257 0.921 0.245
H2 0.921 0.578 0.245
H3 0.416 0.730 0.769
H4 0.086 0.416 0.769
H5 0.578 0.257 0.245
H6 0.730 0.086 0.769
Pd1 0.221 0.552 0.340
Pd2 0.552 0.887 0.340
Pd3 0.665 0.665 0.006
Pd4 0.887 0.221 0.340
Pd5 0.106 0.777 0.673
Pd6 0.443 0.106 0.673
Pd7 0.777 0.443 0.673

---

12.
VASP calculation (GGA-PBE) on a relaxed structure of DyH4Pd4.

Output
Theoretical density in Mg/m³: 10.184
SG: I4/m
Volume in A^3/atom: 10.7
Final energy in eV per atom: -4.75
DOS at the Fermi energy in states/eV/atom: 0.1160

abc: 4.029 5.295 5.293
angles: 81.71 67.63 67.64
Sites, in units of the cell vectors:
Pd1 0.801 0.806 0.591
Pd2 0.608 0.591 0.194
Pd3 0.199 0.194 0.409
Pd4 0.392 0.409 0.806
H1 0.842 0.492 0.824
H2 0.158 0.508 0.176
H3 0.334 0.825 0.507
H4 0.666 0.175 0.493
Dy1 0.000 0.000 0.000